Below is a relaxed CsPa4Se8 crystal, with properties calculated at the PBE-GGA level.

Unit cell a=7.8829 b=7.8829 c=18.9846 alpha=90.00 beta=90.00 gamma=120.00
Closest atoms and distances in Å follow each position.
Fractional coordinates of all 26 atoms:
Pa: 0.9976 0.4988 0.7500  6 Se 2.87-2.88
Pa: 0.0000 0.0000 0.7500  6 Se 2.88
Pa: 0.5012 0.4988 0.7500  6 Se 2.87-2.88
Se: 0.3333 0.6667 0.3432  3 Pa 2.87
Pa: 0.0000 0.0000 0.2500  6 Se 2.88
Se: 0.8332 0.6663 0.1573  3 Pa 2.88
Se: 0.3333 0.6667 0.1568  3 Pa 2.87
Pa: 0.4988 0.9976 0.2500  6 Se 2.87-2.88
Se: 0.1668 0.3337 0.6573  3 Pa 2.88
Se: 0.6667 0.3333 0.6568  3 Pa 2.87
Cs: 0.0000 0.0000 0.5000  6 Se 3.76
Se: 0.6663 0.8332 0.6573  3 Pa 2.88
Cs: 0.0000 0.0000 0.0000  6 Se 3.76
Se: 0.1668 0.8332 0.6573  3 Pa 2.88
Se: 0.8332 0.1668 0.1573  3 Pa 2.88
Pa: 0.4988 0.5012 0.2500  6 Se 2.87-2.88
Se: 0.1668 0.3337 0.8427  3 Pa 2.88
Pa: 0.0024 0.5012 0.2500  6 Se 2.87-2.88
Se: 0.6663 0.8332 0.8427  3 Pa 2.88
Se: 0.6667 0.3333 0.8432  3 Pa 2.87
Se: 0.8332 0.1668 0.3427  3 Pa 2.88
Pa: 0.5012 0.0024 0.7500  6 Se 2.87-2.88
Se: 0.3337 0.1668 0.3427  3 Pa 2.88
Se: 0.8332 0.6663 0.3427  3 Pa 2.88
Se: 0.1668 0.8332 0.8427  3 Pa 2.88
Se: 0.3337 0.1668 0.1573  3 Pa 2.88

Values from the calculation:
E_form (uncorrected), eV/atom: -1.31
ΔE to the lowest computed polymorph, kcal/mol of atoms: 0.00